(1)
The following is a GGA-PBE calculation of a relaxed SnHg2HBr crystal, from Alexandria via LeMat-Bulk.

a b c (Å): 5.6412 5.6412 3.9628
angles (deg): 90.00 90.00 90.00
With the nearest neighbours (Å) after each atom.
Space group P4/mmm (No. 123)
One atom of each set of equivalent atoms:
Sn1 0.0000 0.0000 0.0000 x1  2 H 1.98
Hg1 0.0000 0.5000 0.0000 x2  2 Sn 2.82
H1 0.0000 0.0000 0.5000 x1  2 Sn 1.98
Br1 0.5000 0.5000 0.5000 x1  8 Hg 3.45



(2)
The following is a GGA-PBE calculation of a relaxed HoH2Br4 crystal, from Alexandria via LeMat-Bulk.

a b c (Å): 5.9581 14.9300 3.8795
angles (deg): 90.00 90.00 90.00
With the nearest neighbours (Å) after each atom.
Space group Cmmm (No. 65)
One atom of each set of equivalent atoms:
Ho1 0.0000 0.0000 0.0000 x2  4 Br 2.75
H1 0.0000 0.3920 0.5000 x4  2 Br 1.94
Br1 0.0000 0.1307 0.5000 x4  2 Ho 2.75, 2 H 3.00
Br2 0.0000 0.3886 0.0000 x4  2 H 1.94



(3)
The following is a GGA-PBE calculation of a relaxed HoHBr2 crystal, from Alexandria via LeMat-Bulk.

a b c (Å): 4.0688 4.2318 14.1352
angles (deg): 90.00 90.00 90.00
With the nearest neighbours (Å) after each atom.
Space group Immm (No. 71)
One atom of each set of equivalent atoms:
Ho1 0.0000 0.0000 0.0000 x2  2 H 2.12
H1 0.0000 0.5000 0.0000 x2  2 Ho 2.12
Br1 0.0000 0.5000 0.3642 x4  2 Ho 2.80



(4)
The following is a GGA-PBE calculation of a relaxed HoHBr2 crystal, from Alexandria via LeMat-Bulk.

a b c (Å): 6.6122 3.8173 7.8547
angles (deg): 90.00 105.55 90.00
With the nearest neighbours (Å) after each atom.
Space group Cm (No. 8)
One atom of each set of equivalent atoms:
Ho1 0.0000 0.0000 0.0000 x2  3 H 2.20
H1 0.1666 0.5000 0.0000 x2  3 Ho 2.20
Br1 0.2530 0.0000 0.7474 x2  3 H 2.92, 3 Ho 2.92
Br2 0.4138 0.0000 0.2526 x2  3 H 2.92, 3 Ho 2.92



(5)
The following is a GGA-PBE calculation of a relaxed Ho2HBr3 crystal, from Alexandria via LeMat-Bulk.

a b c (Å): 17.9301 3.7925 11.2877
angles (deg): 90.00 122.41 90.00
With the nearest neighbours (Å) after each atom.
Space group C2/m (No. 12)
One atom of each set of equivalent atoms:
Ho1 0.0730 0.0000 0.4625 x4  2 H 2.25-2.29
Ho2 0.1382 0.5000 0.7945 x4  2 H 2.28
H1 0.0781 0.0000 0.6659 x4  4 Ho 2.25-2.29
Br1 0.0353 0.5000 0.2456 x4  3 Ho 2.88-2.89
Br2 0.1663 0.0000 0.0101 x4  3 Ho 2.91-2.98
Br3 0.2120 0.5000 0.6196 x4  3 Ho 2.87-2.91



(6)
The following is a GGA-PBE calculation of a relaxed HoHBr3 crystal, from Alexandria via LeMat-Bulk.

a b c (Å): 7.6623 7.4755 13.0861
angles (deg): 90.00 107.84 90.00
With the nearest neighbours (Å) after each atom.
Space group P2/c (No. 13)
One atom of each set of equivalent atoms:
Ho1 0.9999 0.2500 0.0841 x4  6 Br 2.78-2.84
H1 0.0516 0.2424 0.7592 x4  1 H 0.75
Br1 0.2402 0.0285 0.0219 x4  2 Ho 2.78-2.84
Br2 0.2403 0.4711 0.5646 x4  2 Ho 2.78-2.84
Br3 0.2453 0.2502 0.2940 x4  2 Ho 2.81



(7)
The following is a GGA-PBE calculation of a relaxed HoH2Br3 crystal, from Alexandria via LeMat-Bulk.

a b c (Å): 8.0682 8.0682 7.2647
angles (deg): 90.00 90.00 120.00
With the nearest neighbours (Å) after each atom.
Space group P6_3/mmc (No. 194)
One atom of each set of equivalent atoms:
Ho1 0.0000 0.0000 0.0000 x2  6 Br 2.81
H1 0.3333 0.6667 0.0425 x4  1 H 3.02, 3 Br 3.29
Br1 0.1539 0.3078 0.7500 x6  2 Ho 2.81



(8)
The following is a GGA-PBE calculation of a relaxed HoHIBr crystal, from Alexandria via LeMat-Bulk.

a b c (Å): 6.7634 3.9047 8.2169
angles (deg): 90.00 106.00 90.00
With the nearest neighbours (Å) after each atom.
Space group Cm (No. 8)
One atom of each set of equivalent atoms:
Ho1 0.0000 0.0000 0.0000 x2  3 H 2.25-2.26
H1 0.3347 0.0000 0.0046 x2  3 Ho 2.25-2.26
I1 0.2573 0.5000 0.2703 x2  3 H 3.08, 3 Ho 3.10-3.11
Br1 0.0873 0.5000 0.7626 x2  3 Ho 2.93, 3 H 2.95-2.96



(9)
The following is a GGA-PBE calculation of a relaxed Ho2H2SBr crystal, from Alexandria via LeMat-Bulk.

a b c (Å): 3.7342 3.7342 8.2494
angles (deg): 90.00 90.00 120.00
With the nearest neighbours (Å) after each atom.
Space group P-3m1 (No. 164)
One atom of each set of equivalent atoms:
Ho1 0.3333 0.6667 0.2080 x2  3 H 2.18
H1 0.3333 0.6667 0.7526 x2  3 Ho 2.18
S1 0.0000 0.0000 0.0000 x1  6 Ho 2.76, 6 H 2.97
Br1 0.0000 0.0000 0.5000 x1  6 H 3.00, 6 Ho 3.23



(10)
The following is a GGA-PBE calculation of a relaxed H2I4Br crystal, from Alexandria via LeMat-Bulk.

a b c (Å): 7.4687 8.4147 10.8001
angles (deg): 76.50 84.28 68.50
With the nearest neighbours (Å) after each atom.
Space group P1 (No. 1)
One atom of each set of equivalent atoms:
H1 0.0000 0.0000 0.0000 x1  1 I 1.69
H2 0.0516 0.1983 0.5861 x1  1 I 1.69
H3 0.4414 0.7046 0.9929 x1  1 I 1.69
H4 0.5531 0.7562 0.3875 x1  1 I 1.70
I1 0.0449 0.1816 0.0025 x1  1 H 1.69
I2 0.1384 0.9769 0.6154 x1  1 H 1.69
I3 0.3971 0.5200 0.9997 x1  1 H 1.69
I4 0.4812 0.0336 0.4397 x1  1 H 2.39, 1 Br 2.60
I5 0.5241 0.9574 0.9859 x1  1 H 2.41
I6 0.6404 0.5503 0.3602 x1  1 H 1.70
I7 0.9175 0.7534 0.9864 x1  1 H 2.41
I8 0.9755 0.5088 0.5310 x1  1 H 2.40, 1 Br 2.60
Br1 0.2457 0.4819 0.6772 x1  1 I 2.60
Br2 0.7582 0.0881 0.2909 x1  1 I 2.60



(11)
The following is a GGA-PBE calculation of a relaxed H3IBr crystal, from Alexandria via LeMat-Bulk.

a b c (Å): 6.1426 6.5425 7.0830
angles (deg): 116.74 101.60 101.76
With the nearest neighbours (Å) after each atom.
Space group P-1 (No. 2)
One atom of each set of equivalent atoms:
H1 0.2259 0.0608 0.4826 x2  1 H 0.75
H2 0.2505 0.4890 0.0137 x2  1 Br 1.66
H3 0.2645 0.9512 0.4379 x2  1 H 0.75
I1 0.2418 0.6361 0.8230 x2  1 H 1.98
Br1 0.2582 0.3667 0.1742 x2  1 H 1.66

Computed properties:
- Relative energy among the computed polymorphs: 0.0 meV per atom



(12)
The following is a GGA-PBE calculation of a relaxed H2I3Br crystal, from Alexandria via LeMat-Bulk.

a b c (Å): 5.4309 8.6680 11.5526
angles (deg): 77.70 81.05 72.07
With the nearest neighbours (Å) after each atom.
Space group P-1 (No. 2)
One atom of each set of equivalent atoms:
H1 0.1434 0.2357 0.4958 x2  1 I 1.65
H2 0.1843 0.7400 0.0002 x2  1 I 1.64
I1 0.0611 0.7451 0.8782 x2  1 H 1.64
I2 0.1132 0.7442 0.2743 x2  2 Br 2.76, 1 H 2.82
I3 0.3579 0.2347 0.3781 x2  1 H 1.65
Br1 0.3718 0.2586 0.7667 x2  2 I 2.76



Values for Fermi-level density of states, states/eV/f.u., ordered as above
2.266; 1.740; 0.000; 0.000; 2.215; 0.000; 0.000; 0.000; 1.653; 0.000; 1.402; 3.482
Values for raw total energy, eV per cell, ordered as above
-9.676; -44.914; -33.280; -34.694; -102.663; -81.333; -38.255; -33.038; -29.205; -29.106; -26.562; -25.540